# 1
# TmMg6Cd (PBE-GGA, relaxed)
data_TmMg6Cd
_cell_length_a 4.9958
_cell_length_b 7.3503
_cell_length_c 10.3101
_cell_angle_alpha 90.00
_cell_angle_beta 90.00
_cell_angle_gamma 90.00
_space_group_name_H-M_alt 'A m m 2'
_space_group_IT_number 38
_space_group_name_Hall 'A 2 -2'
loop_
_atom_site_label
_atom_site_type_symbol
_atom_site_fract_x
_atom_site_fract_y
_atom_site_fract_z
Tm1 Tm 0.0000 0.0000 0.0000
Mg1 Mg 0.0000 0.0000 0.4522
Mg2 Mg 0.0000 0.2178 0.7277
Mg3 Mg 0.5000 0.0000 0.7871
Mg4 Mg 0.5000 0.2184 0.5130
Cd1 Cd 0.5000 0.0000 0.2359
# - mass density (Mg/m³) = 3.75
# - offset from the most stable computed form (meV/atom) = 13.8
# - raw total energy (eV per cell) = -30.35
# - energy relative to the elements (eV per atom) = -0.028



# 2
# PaBrO3 (PBE-GGA, relaxed)
data_PaBrO3
_cell_length_a 12.0080
_cell_length_b 11.0331
_cell_length_c 6.1668
_cell_angle_alpha 90.00
_cell_angle_beta 105.90
_cell_angle_gamma 90.00
_space_group_name_H-M_alt 'C 1 2/c 1'
_space_group_IT_number 15
_space_group_name_Hall '-C 2yc'
loop_
_atom_site_label
_atom_site_type_symbol
_atom_site_fract_x
_atom_site_fract_y
_atom_site_fract_z
Pa1 Pa 0.0000 0.0706 0.2500
Pa2 Pa 0.0000 0.4163 0.2500
Br1 Br 0.2466 0.1704 0.2629
O1 O 0.0802 0.0712 0.5910
O2 O 0.0923 0.4479 0.6135
O3 O 0.1024 0.2603 0.1985
# - mass density (Mg/m³) = 6.07
# - raw total energy (eV per cell) = -300.59
# - uncorrected formation energy (eV/atom) = -2.3060



# 3
# MnZn (PBE-GGA, relaxed)
data_MnZn
_cell_length_a 5.7979
_cell_length_b 5.7979
_cell_length_c 5.7979
_cell_angle_alpha 90.00
_cell_angle_beta 90.00
_cell_angle_gamma 90.00
_space_group_name_H-M_alt 'F -4 3 m'
_space_group_IT_number 216
_space_group_name_Hall 'F -4 2 3'
loop_
_atom_site_label
_atom_site_type_symbol
_atom_site_fract_x
_atom_site_fract_y
_atom_site_fract_z
Mn1 Mn 0.0000 0.0000 0.0000
Zn1 Zn 0.2500 0.2500 0.2500
# - mass density (Mg/m³) = 4.10
# - raw total energy (eV per cell) = -32.42
# - energy relative to the elements (eV per atom) = 1.169



# 4
# FeBi (PBE-GGA, relaxed)
data_FeBi
_cell_length_a 10.4784
_cell_length_b 10.4784
_cell_length_c 3.2893
_cell_angle_alpha 90.00
_cell_angle_beta 90.00
_cell_angle_gamma 90.00
_space_group_name_H-M_alt 'I 4/m'
_space_group_IT_number 87
_space_group_name_Hall '-I 4'
loop_
_atom_site_label
_atom_site_type_symbol
_atom_site_fract_x
_atom_site_fract_y
_atom_site_fract_z
Fe1 Fe 0.0794 0.5972 0.0000
Bi1 Bi 0.1164 0.2014 0.0000
# - mass density (Mg/m³) = 9.74
# - raw total energy (eV per cell) = -93.96
# - energy relative to the elements (eV per atom) = 0.299



# 5
# ZrP2SBr (PBE-GGA, relaxed)
data_ZrP2SBr
_cell_length_a 4.6929
_cell_length_b 4.6929
_cell_length_c 4.7995
_cell_angle_alpha 90.00
_cell_angle_beta 90.00
_cell_angle_gamma 90.00
_space_group_name_H-M_alt 'P 4/m m m'
_space_group_IT_number 123
_space_group_name_Hall '-P 4 2'
loop_
_atom_site_label
_atom_site_type_symbol
_atom_site_fract_x
_atom_site_fract_y
_atom_site_fract_z
Zr1 Zr 0.0000 0.0000 0.0000
P1 P 0.0000 0.5000 0.5000
S1 S 0.5000 0.5000 0.0000
Br1 Br 0.5000 0.5000 0.5000
# - mass density (Mg/m³) = 4.17
# - offset from the most stable computed form (meV/atom) = 703.1
# - raw total energy (eV per cell) = -20.58
# - uncorrected formation energy (eV/atom) = 0.9179



# 6
# MnAg (PBE-GGA, relaxed)
data_MnAg
_cell_length_a 8.1617
_cell_length_b 8.1617
_cell_length_c 8.1617
_cell_angle_alpha 90.00
_cell_angle_beta 90.00
_cell_angle_gamma 90.00
_space_group_name_H-M_alt 'I -4 3 m'
_space_group_IT_number 217
_space_group_name_Hall 'I -4 2 3'
loop_
_atom_site_label
_atom_site_type_symbol
_atom_site_fract_x
_atom_site_fract_y
_atom_site_fract_z
Mn1 Mn 0.1182 0.1182 0.1182
Ag1 Ag 0.1950 0.1950 0.8050
# - mass density (Mg/m³) = 3.98
# - raw total energy (eV per cell) = -77.95
# - energy relative to the elements (eV per atom) = 1.139



# 7
# AcPm2Nd4Ho (PBE-GGA, relaxed)
data_AcPm2Nd4Ho
_cell_length_a 5.2054
_cell_length_b 5.2252
_cell_length_c 10.4668
_cell_angle_alpha 90.00
_cell_angle_beta 90.00
_cell_angle_gamma 90.00
_space_group_name_H-M_alt 'P m m m'
_space_group_IT_number 47
_space_group_name_Hall '-P 2 2'
loop_
_atom_site_label
_atom_site_type_symbol
_atom_site_fract_x
_atom_site_fract_y
_atom_site_fract_z
Ac1 Ac 0.0000 0.0000 0.0000
Pm1 Pm 0.0000 0.0000 0.5000
Pm2 Pm 0.5000 0.5000 0.0000
Nd1 Nd 0.0000 0.5000 0.2579
Nd2 Nd 0.5000 0.0000 0.2577
Ho1 Ho 0.5000 0.5000 0.5000
# - mass density (Mg/m³) = 7.34
# - raw total energy (eV per cell) = -37.08
# - energy relative to the elements (eV per atom) = 0.022



# 8
# Ca2CdMo (PBE-GGA, relaxed)
data_Ca2CdMo
_cell_length_a 3.0957
_cell_length_b 3.0957
_cell_length_c 10.0422
_cell_angle_alpha 90.00
_cell_angle_beta 90.00
_cell_angle_gamma 90.00
_space_group_name_H-M_alt 'P 4/m m m'
_space_group_IT_number 123
_space_group_name_Hall '-P 4 2'
loop_
_atom_site_label
_atom_site_type_symbol
_atom_site_fract_x
_atom_site_fract_y
_atom_site_fract_z
Ca1 Ca 0.0000 0.0000 0.2351
Cd1 Cd 0.5000 0.5000 0.5000
Mo1 Mo 0.5000 0.5000 0.0000
# - mass density (Mg/m³) = 4.98
# - raw total energy (eV per cell) = -14.11
# - energy relative to the elements (eV per atom) = 0.410